Version A
Pm2Pr8Nd: optimized geometry, PBE.

Fermi-level density of states ... 15.52 states/eV per cell
Magnetization ... 0.000 μB per atom

Lattice parameters (Å, degrees): 9.267 10.574 10.574 39.80 41.27 41.27
Fractional coordinates of all 11 atoms:
Pm1 0.675 0.834 0.834
Pr1 0.787 0.221 0.668
Pr2 0.213 0.332 0.779
Pr3 0.761 0.289 0.289
Pr4 0.318 0.340 0.340
Pr5 0.682 0.660 0.660
Pr6 0.787 0.668 0.221
Pr7 0.213 0.779 0.332
Pr8 0.239 0.711 0.711
Nd1 0.000 0.000 0.000
Pm2 0.325 0.166 0.166

=====

Version B
Pm2Pr8Nd: optimized geometry, PBE.

Fermi-level density of states ... 18.67 states/eV per cell
Magnetization ... 0.000 μB per atom

Lattice parameters (Å, degrees): 6.843 10.569 10.569 38.13 59.75 59.75
Fractional coordinates of all 11 atoms:
Pm1 0.589 0.801 0.801
Pr1 0.730 0.592 0.592
Pr2 0.766 0.175 0.650
Pr3 0.234 0.825 0.350
Pr4 0.829 0.244 0.244
Pm2 0.411 0.199 0.199
Nd1 0.000 0.000 0.000
Pr5 0.766 0.650 0.175
Pr6 0.234 0.350 0.825
Pr7 0.171 0.756 0.756
Pr8 0.270 0.408 0.408

=====

Name the most stable of them. version A.

=====

Version A
PmPr8Nd6: optimized geometry, PBE.

Fermi-level density of states ... 22.07 states/eV per cell
Magnetization ... 0.000 μB per atom

Lattice parameters (Å, degrees): 9.549 9.549 8.796 57.13 57.13 60.00
Fractional coordinates of all 15 atoms:
Pr1 0.661 0.770 0.484
Pr2 0.916 0.339 0.516
Pm1 0.000 0.000 0.000
Nd1 0.737 0.443 0.926
Nd2 0.893 0.737 0.926
Nd3 0.263 0.557 0.074
Pr3 0.573 0.573 0.282
Pr4 0.230 0.916 0.516
Nd4 0.107 0.263 0.074
Pr5 0.427 0.427 0.718
Nd5 0.443 0.893 0.926
Pr6 0.084 0.661 0.484
Pr7 0.339 0.230 0.516
Pr8 0.770 0.084 0.484
Nd6 0.557 0.107 0.074

=====

Version B
PmPr8Nd6: optimized geometry, PBE.

Fermi-level density of states ... 23.11 states/eV per cell
Magnetization ... 0.000 μB per atom

Lattice parameters (Å, degrees): 6.781 9.644 9.644 120.00 90.00 90.00
Fractional coordinates of all 15 atoms:
Pr1 0.838 0.029 0.285
Pr2 0.891 0.333 0.667
Nd1 0.344 0.345 0.914
Pm1 0.500 0.000 0.000
Nd2 0.656 0.431 0.345
Pr3 0.162 0.285 0.256
Pr4 0.838 0.715 0.744
Nd3 0.656 0.914 0.569
Nd4 0.344 0.086 0.431
Nd5 0.656 0.655 0.086
Pr5 0.162 0.744 0.029
Pr6 0.838 0.256 0.971
Nd6 0.344 0.569 0.655
Pr7 0.162 0.971 0.715
Pr8 0.109 0.667 0.333

=====

Name the most stable of them. version A.

=====

Version A
PmPr7Nd12: optimized geometry, PBE.

Fermi-level density of states ... 30.63 states/eV per cell
Magnetization ... 0.000 μB per atom

Lattice parameters (Å, degrees): 10.148 10.148 10.148 109.47 109.47 109.47
Fractional coordinates of all 20 atoms:
Nd1 0.249 0.751 0.000
Nd2 0.000 0.751 0.249
Pr1 0.000 0.000 0.500
Nd3 0.497 0.249 0.249
Nd4 0.249 0.249 0.497
Nd5 0.000 0.249 0.751
Nd6 0.503 0.751 0.751
Nd7 0.751 0.249 0.000
Nd8 0.751 0.751 0.503
Nd9 0.751 0.000 0.249
Pr2 0.000 0.500 0.500
Nd10 0.249 0.000 0.751
Nd11 0.249 0.497 0.249
Pr3 0.500 0.000 0.500
Pm1 0.000 0.000 0.000
Pr4 0.500 0.000 0.000
Pr5 0.500 0.500 0.000
Pr6 0.000 0.500 0.000
Nd12 0.751 0.503 0.751
Pr7 0.500 0.500 0.500

=====

Version B
PmPr7Nd12: optimized geometry, PBE.

Fermi-level density of states ... 39.70 states/eV per cell
Magnetization ... 0.000 μB per atom

Lattice parameters (Å, degrees): 8.980 8.980 8.980 87.73 87.73 87.73
Fractional coordinates of all 20 atoms:
Pr1 0.150 0.393 0.074
Nd1 0.508 0.383 0.864
Nd2 0.856 0.257 0.723
Nd3 0.277 0.144 0.743
Pr2 0.500 0.500 0.500
Nd4 0.492 0.617 0.136
Pr3 0.607 0.926 0.850
Pr4 0.074 0.150 0.393
Nd5 0.617 0.136 0.492
Nd6 0.723 0.856 0.257
Nd7 0.136 0.492 0.617
Pr5 0.393 0.074 0.150
Pr6 0.926 0.850 0.607
Pr7 0.850 0.607 0.926
Nd8 0.144 0.743 0.277
Pm1 0.000 0.000 0.000
Nd9 0.257 0.723 0.856
Nd10 0.743 0.277 0.144
Nd11 0.383 0.864 0.508
Nd12 0.864 0.508 0.383

=====

Name the most stable of them. version B.

=====

Version A
Pm3Pr4Nd5: optimized geometry, PBE.

Fermi-level density of states ... 19.64 states/eV per cell
Magnetization ... 0.043 μB per atom

Lattice parameters (Å, degrees): 6.127 8.800 9.951 60.63 72.07 69.63
Each line ends with the local moment (μB).
Fractional coordinates of all 12 atoms:
Pr1 0.212 0.953 0.623  0.00
Pr2 0.788 0.047 0.377  0.00
Pm1 0.327 0.456 0.889  0.01
Pr3 0.917 0.226 0.940  0.00
Nd1 0.426 0.948 0.199  0.00
Pm2 0.673 0.544 0.111  0.01
Nd2 0.500 0.500 0.500  0.15
Pm3 0.000 0.500 0.500  0.16
Nd3 0.574 0.052 0.801  0.00
Nd4 0.208 0.309 0.274  0.01
Nd5 0.792 0.691 0.726  0.01
Pr4 0.083 0.774 0.060  0.00

=====

Version B
Pm3Pr4Nd5: optimized geometry, PBE.

Fermi-level density of states ... 19.30 states/eV per cell
Magnetization ... 0.000 μB per atom

Lattice parameters (Å, degrees): 7.361 11.659 13.299 151.30 56.39 129.17
Fractional coordinates of all 12 atoms:
Pr1 0.833 0.666 0.833
Nd1 0.333 0.666 0.833
Pr2 0.916 0.833 0.666
Pm1 0.582 0.166 0.333
Pm2 0.000 0.000 0.500
Pm3 0.418 0.834 0.667
Pr3 0.167 0.334 0.167
Nd2 0.500 0.000 0.500
Nd3 0.249 0.501 0.001
Pr4 0.084 0.167 0.334
Nd4 0.667 0.334 0.167
Nd5 0.751 0.499 0.999

=====

Name the most stable of them. version B.

=====

Version A
Pm8PrNd6: optimized geometry, PBE.

Fermi-level density of states ... 21.97 states/eV per cell
Magnetization ... 0.000 μB per atom

Lattice parameters (Å, degrees): 9.467 9.467 8.733 57.18 57.18 60.00
Fractional coordinates of all 15 atoms:
Pm1 0.772 0.083 0.488
Nd1 0.444 0.893 0.927
Pm2 0.657 0.772 0.488
Pr1 0.000 0.000 0.000
Pm3 0.429 0.429 0.714
Nd2 0.893 0.736 0.927
Pm4 0.343 0.228 0.512
Nd3 0.107 0.264 0.073
Pm5 0.917 0.343 0.512
Nd4 0.264 0.556 0.073
Pm6 0.083 0.657 0.488
Nd5 0.736 0.444 0.927
Nd6 0.556 0.107 0.073
Pm7 0.228 0.917 0.512
Pm8 0.571 0.571 0.286

=====

Version B
Pm8PrNd6: optimized geometry, PBE.

Fermi-level density of states ... 22.63 states/eV per cell
Magnetization ... 0.000 μB per atom

Lattice parameters (Å, degrees): 6.704 9.598 9.598 120.00 90.00 90.00
Fractional coordinates of all 15 atoms:
Pm1 0.839 0.256 0.972
Nd1 0.340 0.085 0.433
Nd2 0.660 0.652 0.085
Pm2 0.890 0.333 0.667
Nd3 0.340 0.348 0.915
Pm3 0.161 0.972 0.717
Pm4 0.161 0.744 0.028
Nd4 0.660 0.915 0.567
Nd5 0.660 0.433 0.348
Pm5 0.839 0.028 0.283
Pm6 0.110 0.667 0.333
Nd6 0.340 0.567 0.652
Pm7 0.839 0.717 0.744
Pr1 0.500 0.000 0.000
Pm8 0.161 0.283 0.256

=====

Name the most stable of them. version A.

=====

Version A
Pm7PrNd4: optimized geometry, PBE.

Fermi-level density of states ... 17.78 states/eV per cell
Magnetization ... 0.000 μB per atom

Lattice parameters (Å, degrees): 7.375 9.766 9.153 81.15 89.98 40.95
Fractional coordinates of all 12 atoms:
Pr1 0.000 0.000 0.000
Pm1 0.750 0.500 0.000
Nd1 0.529 0.721 0.333
Pm2 0.971 0.279 0.668
Nd2 0.279 0.221 0.332
Pm3 0.029 0.721 0.332
Pm4 0.250 0.500 0.000
Pm5 0.221 0.779 0.668
Pm6 0.779 0.221 0.332
Nd3 0.721 0.779 0.668
Pm7 0.500 0.000 0.000
Nd4 0.471 0.279 0.667

=====

Version B
Pm7PrNd4: optimized geometry, PBE.

Fermi-level density of states ... 19.48 states/eV per cell
Magnetization ... 0.038 μB per atom

Lattice parameters (Å, degrees): 6.097 9.916 8.751 60.62 69.61 72.10
Each line ends with the local moment (μB).
Fractional coordinates of all 12 atoms:
Pm1 0.500 0.000 0.000  0.16
Pm2 0.214 0.121 0.450  0.00
Pm3 0.792 0.228 0.189  0.00
Pm4 0.208 0.772 0.811  0.00
Pm5 0.786 0.879 0.550  0.00
Pm6 0.082 0.558 0.277  0.00
Nd1 0.673 0.612 0.043  0.01
Nd2 0.426 0.699 0.450  0.00
Pm7 0.918 0.442 0.723  0.00
Pr1 0.000 0.000 0.000  0.14
Nd3 0.327 0.388 0.957  0.01
Nd4 0.574 0.301 0.550  0.00

=====

Name the most stable of them. version A.

=====

Version A
Pm2Pr7Nd2: optimized geometry, PBE.

Fermi-level density of states ... 17.79 states/eV per cell
Magnetization ... 0.000 μB per atom

Lattice parameters (Å, degrees): 8.517 7.047 7.047 103.76 81.08 81.08
Fractional coordinates of all 11 atoms:
Pr1 0.530 0.191 0.191
Nd1 0.178 0.581 0.581
Pm1 0.500 0.711 0.289
Pr2 0.830 0.909 0.494
Pr3 0.170 0.506 0.091
Pm2 0.500 0.289 0.711
Pr4 0.170 0.091 0.506
Nd2 0.822 0.419 0.419
Pr5 0.000 0.000 0.000
Pr6 0.470 0.809 0.809
Pr7 0.830 0.494 0.909

=====

Version B
Pm2Pr7Nd2: optimized geometry, PBE.

Fermi-level density of states ... 19.49 states/eV per cell
Magnetization ... 0.000 μB per atom

Lattice parameters (Å, degrees): 9.684 7.072 7.072 122.28 90.00 90.00
Fractional coordinates of all 11 atoms:
Pr1 0.682 0.000 0.500
Pr2 0.000 0.000 0.000
Pr3 0.682 0.500 0.000
Pr4 0.318 0.500 0.000
Pr5 0.318 0.000 0.500
Pr6 0.177 0.500 0.500
Pr7 0.823 0.500 0.500
Nd1 0.500 0.249 0.249
Nd2 0.500 0.751 0.751
Pm1 0.000 0.266 0.734
Pm2 0.000 0.734 0.266

=====

Name the most stable of them. version A.

=====

Version A
Pm3Pr5Nd4: optimized geometry, PBE.

Fermi-level density of states ... 20.27 states/eV per cell
Magnetization ... 0.000 μB per atom

Lattice parameters (Å, degrees): 6.123 8.821 9.968 106.19 72.11 69.69
Fractional coordinates of all 12 atoms:
Pm1 0.482 0.309 0.726
Pr1 0.785 0.543 0.888
Pm2 0.000 0.500 0.500
Pr2 0.375 0.051 0.200
Nd1 0.836 0.949 0.378
Nd2 0.859 0.224 0.058
Nd3 0.141 0.776 0.942
Nd4 0.164 0.051 0.622
Pr3 0.500 0.500 0.500
Pm3 0.518 0.691 0.274
Pr4 0.625 0.949 0.800
Pr5 0.215 0.457 0.112

=====

Version B
Pm3Pr5Nd4: optimized geometry, PBE.

Fermi-level density of states ... 19.34 states/eV per cell
Magnetization ... 0.000 μB per atom

Lattice parameters (Å, degrees): 7.366 11.668 13.308 151.30 56.40 129.16
Fractional coordinates of all 12 atoms:
Pr1 0.750 0.499 0.000
Pm1 0.584 0.167 0.333
Nd1 0.916 0.832 0.666
Pr2 0.500 0.000 0.500
Pm2 0.000 0.000 0.500
Pr3 0.666 0.334 0.168
Nd2 0.084 0.168 0.334
Pr4 0.250 0.501 0.000
Nd3 0.834 0.668 0.833
Nd4 0.166 0.332 0.167
Pm3 0.416 0.833 0.667
Pr5 0.334 0.666 0.832

=====

Name the most stable of them. version B.